## P
A relaxed Pr4Y3Ho2 crystal. Source: the Alexandria database, functional PBE-GGA.

Unit cell a=6.739 b=6.739 c=14.560 alpha=114.94 beta=114.94 gamma=31.55
Fractional positions:
Pr  0.219  0.219  0.107
Pr  0.278  0.278  0.628
Pr  0.722  0.722  0.372
Pr  0.781  0.781  0.893
Y  0.493  0.493  0.112
Y  0.500  0.500  0.500
Y  0.507  0.507  0.888
Ho  0.049  0.049  0.709
Ho  0.951  0.951  0.291

Summary:
- Mass density: 6.20 Mg/m³
- M_tot: 0.00 μB/cell
- DOS at the Fermi energy: 1.418 states/eV per atom
- Space-group type: No. 12

## Q
A relaxed Pr4Y3Ho2 crystal. Source: the Alexandria database, functional PBE-GGA.

Unit cell a=9.894 b=9.894 c=7.150 alpha=90.00 beta=90.00 gamma=120.01
Fractional positions:
Pr  0.023  0.678  0.000
Pr  0.320  0.349  0.000
Pr  0.322  0.977  0.500
Pr  0.349  0.320  0.500
Pr  0.651  0.680  0.500
Pr  0.678  0.023  0.500
Pr  0.680  0.651  0.000
Pr  0.977  0.322  0.000
Y  0.000  0.000  0.250
Y  0.000  0.000  0.750
Y  0.329  0.671  0.250
Y  0.329  0.671  0.750
Y  0.671  0.329  0.250
Y  0.671  0.329  0.750
Ho  0.025  0.347  0.500
Ho  0.347  0.025  0.000
Ho  0.653  0.975  0.000
Ho  0.975  0.653  0.500

Summary:
- Mass density: 6.36 Mg/m³
- M_tot: 0.00 μB/cell
- DOS at the Fermi energy: 1.355 states/eV per atom
- Space-group type: No. 66

Name the most stable of them. Q.

## P
A relaxed Pr3YHo crystal. Source: the Alexandria database, functional PBE-GGA.

Unit cell a=11.765 b=11.765 c=5.876 alpha=104.44 beta=104.44 gamma=62.93
Fractional positions:
Pr  0.060  0.749  0.654
Pr  0.196  0.412  0.555
Pr  0.246  0.564  0.156
Pr  0.251  0.940  0.846
Pr  0.412  0.196  0.055
Pr  0.436  0.754  0.344
Pr  0.564  0.246  0.656
Pr  0.588  0.804  0.945
Pr  0.749  0.060  0.154
Pr  0.754  0.436  0.844
Pr  0.804  0.588  0.445
Pr  0.940  0.251  0.346
Y  0.089  0.302  0.947
Y  0.302  0.089  0.447
Y  0.698  0.911  0.553
Y  0.911  0.698  0.053
Ho  0.089  0.911  0.250
Ho  0.412  0.588  0.750
Ho  0.588  0.412  0.250
Ho  0.911  0.089  0.750

Summary:
- Mass density: 6.49 Mg/m³
- M_tot: 0.00 μB/cell
- DOS at the Fermi energy: 1.524 states/eV per atom
- Space-group type: No. 15

## Q
A relaxed Pr3YHo crystal. Source: the Alexandria database, functional PBE-GGA.

Unit cell a=9.429 b=9.429 c=7.787 alpha=90.00 beta=90.00 gamma=90.50
Fractional positions:
Pr  0.092  0.609  0.617
Pr  0.101  0.899  0.892
Pr  0.109  0.592  0.117
Pr  0.391  0.908  0.617
Pr  0.399  0.601  0.392
Pr  0.408  0.891  0.117
Pr  0.592  0.109  0.883
Pr  0.601  0.399  0.608
Pr  0.609  0.092  0.383
Pr  0.891  0.408  0.883
Pr  0.899  0.101  0.108
Pr  0.908  0.391  0.383
Y  0.240  0.260  0.750
Y  0.260  0.240  0.250
Y  0.740  0.760  0.750
Y  0.760  0.740  0.250
Ho  0.099  0.901  0.373
Ho  0.401  0.599  0.873
Ho  0.599  0.401  0.127
Ho  0.901  0.099  0.627

Summary:
- Mass density: 6.49 Mg/m³
- M_tot: 0.00 μB/cell
- DOS at the Fermi energy: 1.168 states/eV per atom
- Space-group type: No. 64

Name the most stable of them. P.

## P
A relaxed Pr6Y2Ho crystal. Source: the Alexandria database, functional PBE-GGA.

Unit cell a=10.125 b=10.125 c=3.703 alpha=90.00 beta=90.00 gamma=124.01
Fractional positions:
Pr  0.009  0.340  0.000
Pr  0.185  0.185  0.500
Pr  0.340  0.009  0.000
Pr  0.660  0.991  0.000
Pr  0.815  0.815  0.500
Pr  0.991  0.660  0.000
Y  0.325  0.675  0.500
Y  0.675  0.325  0.500
Ho  0.500  0.500  0.000

Summary:
- Mass density: 6.27 Mg/m³
- M_tot: 0.00 μB/cell
- DOS at the Fermi energy: 1.374 states/eV per atom
- Space-group type: No. 65

## Q
A relaxed Pr6Y2Ho crystal. Source: the Alexandria database, functional PBE-GGA.

Unit cell a=8.367 b=8.367 c=10.566 alpha=90.00 beta=90.00 gamma=90.00
Fractional positions:
Pr  0.239  0.239  0.166
Pr  0.239  0.239  0.834
Pr  0.241  0.241  0.500
Pr  0.259  0.741  0.000
Pr  0.261  0.739  0.334
Pr  0.261  0.739  0.666
Pr  0.739  0.261  0.334
Pr  0.739  0.261  0.666
Pr  0.741  0.259  0.000
Pr  0.759  0.759  0.500
Pr  0.761  0.761  0.166
Pr  0.761  0.761  0.834
Y  0.000  0.000  0.333
Y  0.000  0.000  0.667
Y  0.500  0.500  0.167
Y  0.500  0.500  0.833
Ho  0.000  0.000  0.000
Ho  0.500  0.500  0.500

Summary:
- Mass density: 5.34 Mg/m³
- M_tot: 0.00 μB/cell
- DOS at the Fermi energy: 1.808 states/eV per atom
- Space-group type: No. 136

Name the most stable of them. P.